# 1
Computed, not measured: a geometry-optimized LaYHf3 structure at the GGA-PBE level of DFT.

Values from the calculation:
- space group = Pm-3m (221)
- total magnetization (μB per formula unit) = 0.0
- distance to the lowest polymorph of the same formula (meV/atom) = 0
- formation energy (meV/atom) = 1167

Cell and atoms, written as POSCAR:
```
LaYHf3
1.0
5.213 0.000 0.000
0.000 5.213 0.000
0.000 0.000 5.213
La Y Hf
1 1 3
direct
0.000 0.000 0.000
0.500 0.500 0.500
0.000 0.000 0.500
0.000 0.500 0.000
0.500 0.000 0.000
```



# 2
Computed, not measured: a geometry-optimized AcNd4Tm7 structure at the GGA-PBE level of DFT.

Values from the calculation:
- space group = C2/m (12)
- total magnetization (μB per formula unit) = 0.0
- formation energy (meV/atom) = 299

Cell and atoms, written as POSCAR:
```
AcNd4Tm7
1.0
6.163 -3.019 0.000
6.163 3.019 0.000
-6.157 0.000 11.125
Ac Nd Tm
1 4 7
direct
0.000 0.000 0.000
0.145 0.145 0.776
0.434 0.434 0.674
0.566 0.566 0.326
0.855 0.855 0.224
0.132 0.132 0.499
0.272 0.272 0.332
0.295 0.295 0.078
0.500 0.500 0.000
0.705 0.705 0.922
0.728 0.728 0.668
0.868 0.868 0.501
```



# 3
Computed, not measured: a geometry-optimized MnBeGe3 structure at the GGA-PBE level of DFT.

Values from the calculation:
- space group = Pm-3m (221)
- total magnetization (μB per formula unit) = 0.9
- distance to the lowest polymorph of the same formula (meV/atom) = 0
- formation energy (meV/atom) = 617

Cell and atoms, written as POSCAR:
```
MnBeGe3
1.0
4.600 0.000 0.000
0.000 4.600 0.000
0.000 0.000 4.600
Mn Be Ge
1 1 3
direct
0.000 0.000 0.000
0.500 0.500 0.500
0.000 0.000 0.500
0.000 0.500 0.000
0.500 0.000 0.000
```



# 4
Computed, not measured: a geometry-optimized K2TeO structure at the GGA-PBE level of DFT.

Values from the calculation:
- space group = Fm-3m (225)
- total magnetization (μB per formula unit) = 2.0
- distance to the lowest polymorph of the same formula (meV/atom) = 484
- formation energy (no corrections) (eV per atom) = -0.40

Cell and atoms, written as POSCAR:
```
K2TeO
1.0
0.000 3.970 3.970
3.970 0.000 3.970
3.970 3.970 0.000
K Te O
2 1 1
direct
0.250 0.250 0.250
0.750 0.750 0.750
0.000 0.000 0.000
0.500 0.500 0.500
```



# 5
Computed, not measured: a geometry-optimized CsTa5Se8 structure at the GGA-PBE level of DFT.

Values from the calculation:
- space group = C2/m (12)
- total magnetization (μB per formula unit) = 0.0
- formation energy (no corrections) (eV per atom) = -0.80

Cell and atoms, written as POSCAR:
```
CsTa5Se8
1.0
10.410 -1.729 0.000
10.410 1.729 0.000
-3.965 0.000 9.611
Cs Ta Se
1 5 8
direct
0.000 0.000 0.000
0.125 0.125 0.547
0.206 0.206 0.882
0.500 0.500 0.500
0.794 0.794 0.118
0.875 0.875 0.453
0.063 0.063 0.710
0.278 0.278 0.307
0.339 0.339 0.984
0.414 0.414 0.650
0.586 0.586 0.350
0.661 0.661 0.016
0.722 0.722 0.693
0.937 0.937 0.290
```



# 6
Computed, not measured: a geometry-optimized SnIr3Ru structure at the GGA-PBE level of DFT.

Values from the calculation:
- space group = Pm-3m (221)
- total magnetization (μB per formula unit) = 0.0
- distance to the lowest polymorph of the same formula (meV/atom) = 0
- formation energy (meV/atom) = 1504

Cell and atoms, written as POSCAR:
```
SnIr3Ru
1.0
4.734 0.000 0.000
0.000 4.734 0.000
0.000 0.000 4.734
Sn Ir Ru
1 3 1
direct
0.000 0.000 0.000
0.000 0.500 0.500
0.500 0.000 0.500
0.500 0.500 0.000
0.500 0.500 0.500
```



# 7
Computed, not measured: a geometry-optimized Rb2FeCuHg structure at the GGA-PBE level of DFT.

Values from the calculation:
- space group = P4/mmm (123)
- total magnetization (μB per formula unit) = 2.7
- formation energy (meV/atom) = 660

Cell and atoms, written as POSCAR:
```
Rb2FeCuHg
1.0
6.580 0.000 0.000
0.000 6.580 0.000
0.000 0.000 4.622
Rb Fe Cu Hg
2 1 1 1
direct
0.000 0.500 0.000
0.500 0.000 0.000
0.000 0.000 0.000
0.000 0.000 0.500
0.500 0.500 0.500
```



# 8
Computed, not measured: a geometry-optimized Pm7ZnIn2 structure at the GGA-PBE level of DFT.

Values from the calculation:
- space group = Fm-3m (225)
- total magnetization (μB per formula unit) = 0.0
- formation energy (meV/atom) = 323

Cell and atoms, written as POSCAR:
```
Pm7ZnIn2
1.0
0.000 5.532 5.532
5.532 0.000 5.532
5.532 5.532 0.000
Pm Zn In
7 1 2
direct
0.000 0.000 0.000
0.255 0.255 0.745
0.255 0.745 0.255
0.255 0.745 0.745
0.745 0.255 0.255
0.745 0.255 0.745
0.745 0.745 0.255
0.500 0.500 0.500
0.250 0.250 0.250
0.750 0.750 0.750
```



# 9
Computed, not measured: a geometry-optimized Dy4IrRh2 structure at the GGA-PBE level of DFT.

Values from the calculation:
- space group = I2_12_12_1 (24)
- total magnetization (μB per formula unit) = 0.0
- distance to the lowest polymorph of the same formula (meV/atom) = 12
- formation energy (meV/atom) = -764

Cell and atoms, written as POSCAR:
```
Dy4IrRh2
1.0
-4.274 4.295 4.295
4.274 -4.295 4.295
4.274 4.295 -4.295
Dy Ir Rh
8 2 4
direct
0.001 0.874 0.499
0.126 0.128 0.127
0.374 0.501 0.002
0.499 0.998 0.873
0.501 0.999 0.373
0.626 0.626 0.627
0.874 0.502 0.001
0.999 0.372 0.498
0.250 0.626 0.376
0.750 0.874 0.124
0.121 0.750 0.871
0.379 0.250 0.629
0.623 0.373 0.250
0.877 0.127 0.750
```



# 10
Computed, not measured: a geometry-optimized Y2ErAg3Se6 structure at the GGA-PBE level of DFT.

Values from the calculation:
- space group = C2/m (12)
- total magnetization (μB per formula unit) = 0.0
- formation energy (no corrections) (eV per atom) = -1.17

Cell and atoms, written as POSCAR:
```
Y2ErAg3Se6
1.0
8.826 -2.082 0.000
8.826 2.082 0.000
-1.492 0.000 7.953
Y Er Ag Se
2 1 3 6
direct
0.167 0.167 0.330
0.833 0.833 0.670
0.500 0.500 0.000
0.169 0.169 0.828
0.500 0.500 0.500
0.831 0.831 0.172
0.001 0.001 0.244
0.333 0.333 0.422
0.335 0.335 0.917
0.665 0.665 0.083
0.667 0.667 0.578
0.999 0.999 0.756
```



# 11
Computed, not measured: a geometry-optimized La2BeCr structure at the GGA-PBE level of DFT.

Values from the calculation:
- space group = R3m (160)
- total magnetization (μB per formula unit) = 2.5
- formation energy (meV/atom) = 259

Cell and atoms, written as POSCAR:
```
La2BeCr
1.0
2.060 1.189 7.193
-2.060 1.189 7.193
0.000 -2.378 7.193
La Be Cr
2 1 1
direct
0.000 0.000 0.000
0.181 0.181 0.181
0.758 0.758 0.758
0.423 0.423 0.423
```



# 12
Computed, not measured: a geometry-optimized Cs3Cd8Hg structure at the GGA-PBE level of DFT.

Values from the calculation:
- space group = R3m (160)
- total magnetization (μB per formula unit) = 0.0
- formation energy (meV/atom) = -12

Cell and atoms, written as POSCAR:
```
Cs3Cd8Hg
1.0
3.297 1.904 10.872
-3.297 1.904 10.872
0.000 -3.807 10.872
Cs Cd Hg
3 8 1
direct
0.000 0.000 0.000
0.128 0.128 0.128
0.619 0.619 0.619
0.059 0.059 0.561
0.059 0.561 0.059
0.070 0.563 0.563
0.311 0.311 0.311
0.561 0.059 0.059
0.563 0.070 0.563
0.563 0.563 0.070
0.813 0.813 0.813
0.497 0.497 0.497
```



# 13
Computed, not measured: a geometry-optimized Na3Sn4Hg4 structure at the GGA-PBE level of DFT.

Values from the calculation:
- space group = Immm (71)
- total magnetization (μB per formula unit) = 0.0
- formation energy (meV/atom) = -83

Cell and atoms, written as POSCAR:
```
Na3Sn4Hg4
1.0
-2.240 4.229 8.205
2.240 -4.229 8.205
2.240 4.229 -8.205
Na Sn Hg
3 4 4
direct
0.000 0.000 0.000
0.379 0.879 0.500
0.621 0.121 0.500
0.032 0.332 0.700
0.368 0.668 0.700
0.632 0.332 0.300
0.968 0.668 0.300
0.229 0.229 0.000
0.321 0.500 0.821
0.679 0.500 0.179
0.771 0.771 0.000
```



# 14
Computed, not measured: a geometry-optimized CdCu2Te2 structure at the GGA-PBE level of DFT.

Values from the calculation:
- space group = I4/mmm (139)
- total magnetization (μB per formula unit) = 0.0
- distance to the lowest polymorph of the same formula (meV/atom) = 0
- formation energy (no corrections) (eV per atom) = -0.02

Cell and atoms, written as POSCAR:
```
CdCu2Te2
1.0
-1.955 1.955 7.568
1.955 -1.955 7.568
1.955 1.955 -7.568
Cd Cu Te
1 2 2
direct
0.000 0.000 0.000
0.250 0.750 0.500
0.750 0.250 0.500
0.368 0.368 0.000
0.632 0.632 0.000
```



# 15
Computed, not measured: a geometry-optimized LiMnCuS2 structure at the GGA-PBE level of DFT.

Values from the calculation:
- space group = P4/mmm (123)
- total magnetization (μB per formula unit) = 3.1
- distance to the lowest polymorph of the same formula (meV/atom) = 574
- formation energy (no corrections) (eV per atom) = -0.05

Cell and atoms, written as POSCAR:
```
LiMnCuS2
1.0
4.524 0.000 0.000
0.000 4.524 0.000
0.000 0.000 4.636
Li Mn Cu S
1 1 1 2
direct
0.000 0.000 0.000
0.500 0.500 0.500
0.500 0.500 0.000
0.000 0.500 0.500
0.500 0.000 0.500
```



# 16
Computed, not measured: a geometry-optimized TaBeIn3 structure at the GGA-PBE level of DFT.

Values from the calculation:
- space group = Pm-3m (221)
- total magnetization (μB per formula unit) = 1.1
- distance to the lowest polymorph of the same formula (meV/atom) = 283
- formation energy (meV/atom) = 1267

Cell and atoms, written as POSCAR:
```
TaBeIn3
1.0
5.457 0.000 0.000
0.000 5.457 0.000
0.000 0.000 5.457
Ta Be In
1 1 3
direct
0.000 0.000 0.000
0.500 0.500 0.500
0.000 0.000 0.500
0.000 0.500 0.000
0.500 0.000 0.000
```



# 17
Computed, not measured: a geometry-optimized LiLa2Ga4Pd3 structure at the GGA-PBE level of DFT.

Values from the calculation:
- space group = P-4m2 (115)
- total magnetization (μB per formula unit) = 0.0
- formation energy (meV/atom) = -726

Cell and atoms, written as POSCAR:
```
LiLa2Ga4Pd3
1.0
4.451 0.000 0.000
0.000 4.451 0.000
0.000 0.000 10.092
Li La Ga Pd
1 2 4 3
direct
0.000 0.000 0.000
0.000 0.500 0.746
0.500 0.000 0.254
0.000 0.000 0.500
0.000 0.500 0.122
0.500 0.000 0.878
0.500 0.500 0.500
0.000 0.500 0.370
0.500 0.000 0.630
0.500 0.500 0.000
```



# 18
Computed, not measured: a geometry-optimized ThCdCuNi structure at the GGA-PBE level of DFT.

Values from the calculation:
- space group = F-43m (216)
- total magnetization (μB per formula unit) = 0.0
- formation energy (meV/atom) = -176

Cell and atoms, written as POSCAR:
```
ThCdCuNi
1.0
0.000 3.379 3.379
3.379 0.000 3.379
3.379 3.379 0.000
Th Cd Cu Ni
1 1 1 1
direct
0.000 0.000 0.000
0.500 0.500 0.500
0.250 0.250 0.250
0.750 0.750 0.750
```



# 19
Computed, not measured: a geometry-optimized BaCo2Sb structure at the GGA-PBE level of DFT.

Values from the calculation:
- space group = Pm (6)
- total magnetization (μB per formula unit) = 2.5
- formation energy (no corrections) (eV per atom) = 0.03

Cell and atoms, written as POSCAR:
```
BaCo2Sb
1.0
4.832 0.000 0.000
0.000 4.104 0.000
-1.337 0.000 5.223
Ba Co Sb
1 2 1
direct
0.000 0.000 0.000
0.189 0.500 0.550
0.405 0.000 0.551
0.662 0.500 0.424
```



# 20
Computed, not measured: a geometry-optimized Mg14ZrW structure at the GGA-PBE level of DFT.

Values from the calculation:
- space group = Amm2 (38)
- total magnetization (μB per formula unit) = 0.0
- distance to the lowest polymorph of the same formula (meV/atom) = 0
- formation energy (meV/atom) = 131

Cell and atoms, written as POSCAR:
```
Mg14ZrW
1.0
10.196 0.000 0.000
0.000 3.034 5.593
0.000 -3.034 5.593
Mg Zr W
14 1 1
direct
0.000 0.000 0.000
0.000 0.002 0.498
0.000 0.496 0.496
0.000 0.498 0.002
0.246 0.658 0.658
0.258 0.158 0.668
0.258 0.668 0.158
0.265 0.152 0.152
0.500 0.000 0.508
0.500 0.508 0.000
0.735 0.152 0.152
0.742 0.158 0.668
0.742 0.668 0.158
0.754 0.658 0.658
0.500 0.505 0.505
0.500 0.001 0.001
```